No. 1
# PBE-GGA PaIrO, optimized geometry
# Crystal system = monoclinic
# Energy relative to the elements, uncorrected = -5.6 eV/f.u.
data_PaIrO
_cell_length_a 6.387
_cell_length_b 3.686
_cell_length_c 10.544
_cell_angle_alpha 90.00
_cell_angle_beta 101.18
_cell_angle_gamma 90.00
_symmetry_space_group_name_H-M 'C 1 2/m 1'
_symmetry_Int_Tables_number 12
_symmetry_space_group_name_Hall '-C 2y'
loop_
_atom_site_label
_atom_site_type_symbol
_atom_site_fract_x
_atom_site_fract_y
_atom_site_fract_z
Pa1 Pa 0.086 0.000 0.248
Ir1 Ir 0.193 0.000 0.583
O1 O 0.108 0.500 0.837

No. 2
# PBE-GGA K2ZnPbF6, optimized geometry
# Crystal system = tetragonal
# Energy relative to the elements, uncorrected = -25.1 eV/f.u.
data_K2ZnPbF6
_cell_length_a 6.114
_cell_length_b 6.114
_cell_length_c 4.988
_cell_angle_alpha 90.00
_cell_angle_beta 90.00
_cell_angle_gamma 90.00
_symmetry_space_group_name_H-M 'P 4 m m'
_symmetry_Int_Tables_number 99
_symmetry_space_group_name_Hall 'P 4 -2'
loop_
_atom_site_label
_atom_site_type_symbol
_atom_site_fract_x
_atom_site_fract_y
_atom_site_fract_z
K1 K 0.000 0.500 0.000
Zn1 Zn 0.000 0.000 0.557
Pb1 Pb 0.500 0.500 0.554
F1 F 0.000 0.000 0.165
F2 F 0.228 0.228 0.653
F3 F 0.500 0.500 0.031

No. 3
# PBE-GGA ZrHgAs2, optimized geometry
# Energy of formation = -0.36 eV per atom
# Crystal system = tetragonal
data_ZrHgAs2
_cell_length_a 3.809
_cell_length_b 3.809
_cell_length_c 5.892
_cell_angle_alpha 90.00
_cell_angle_beta 90.00
_cell_angle_gamma 90.00
_symmetry_space_group_name_H-M 'P 4 m m'
_symmetry_Int_Tables_number 99
_symmetry_space_group_name_Hall 'P 4 -2'
loop_
_atom_site_label
_atom_site_type_symbol
_atom_site_fract_x
_atom_site_fract_y
_atom_site_fract_z
Zr1 Zr 0.000 0.000 0.000
Hg1 Hg 0.500 0.500 0.663
As1 As 0.000 0.000 0.525
As2 As 0.500 0.500 0.125

No. 4
# PBE-GGA ZnCuNi2, optimized geometry
# Energy of formation = -0.09 eV per atom
# Crystal system = monoclinic
data_ZnCuNi2
_cell_length_a 8.430
_cell_length_b 2.592
_cell_length_c 4.368
_cell_angle_alpha 90.00
_cell_angle_beta 100.92
_cell_angle_gamma 90.00
_symmetry_space_group_name_H-M 'C 1 m 1'
_symmetry_Int_Tables_number 8
_symmetry_space_group_name_Hall 'C -2y'
loop_
_atom_site_label
_atom_site_type_symbol
_atom_site_fract_x
_atom_site_fract_y
_atom_site_fract_z
Zn1 Zn 0.000 0.000 0.000
Cu1 Cu 0.245 0.000 0.738
Ni1 Ni 0.250 0.500 0.248
Ni2 Ni 0.495 0.000 0.494

No. 5
# PBE-GGA Ce2CoGeC, optimized geometry
# Energy of formation = -0.46 eV per atom
# Crystal system = monoclinic
data_Ce2CoGeC
_cell_length_a 6.617
_cell_length_b 3.870
_cell_length_c 8.050
_cell_angle_alpha 90.00
_cell_angle_beta 111.94
_cell_angle_gamma 90.00
_symmetry_space_group_name_H-M 'P 1 21/m 1'
_symmetry_Int_Tables_number 11
_symmetry_space_group_name_Hall '-P 2yb'
loop_
_atom_site_label
_atom_site_type_symbol
_atom_site_fract_x
_atom_site_fract_y
_atom_site_fract_z
Ce1 Ce 0.181 0.250 0.413
Ce2 Ce 0.240 0.750 0.017
Co1 Co 0.215 0.250 0.722
Ge1 Ge 0.437 0.750 0.722
C1 C 0.011 0.750 0.190

No. 6
# PBE-GGA RbSn6Pb12, optimized geometry
# Energy of formation = 0.06 eV per atom
# Crystal system = trigonal
data_RbSn6Pb12
_cell_length_a 14.4238
_cell_length_b 14.4238
_cell_length_c 10.8792
_cell_angle_alpha 90.00
_cell_angle_beta 90.00
_cell_angle_gamma 120.00
_symmetry_space_group_name_H-M 'R -3 m'
_symmetry_Int_Tables_number 166
_symmetry_space_group_name_Hall '-R 3 2"'
loop_
_atom_site_label
_atom_site_type_symbol
_atom_site_fract_x
_atom_site_fract_y
_atom_site_fract_z
Rb1 Rb 0.0000 0.0000 0.0000
Sn1 Sn 0.0514 0.5257 0.2376
Pb1 Pb 0.0000 0.3860 0.5000
Pb2 Pb 0.0814 0.1628 0.3132

No. 7
# PBE-GGA Pr2YCd2Ag2, optimized geometry
# Energy of formation = -0.20 eV per atom
# Crystal system = trigonal
data_Pr2YCd2Ag2
_cell_length_a 4.9095
_cell_length_b 4.9095
_cell_length_c 26.8265
_cell_angle_alpha 90.00
_cell_angle_beta 90.00
_cell_angle_gamma 120.00
_symmetry_space_group_name_H-M 'R -3 m'
_symmetry_Int_Tables_number 166
_symmetry_space_group_name_Hall '-R 3 2"'
loop_
_atom_site_label
_atom_site_type_symbol
_atom_site_fract_x
_atom_site_fract_y
_atom_site_fract_z
Pr1 Pr 0.0000 0.0000 0.1237
Y1 Y 0.0000 0.0000 0.0000
Cd1 Cd 0.0000 0.0000 0.2684
Ag1 Ag 0.0000 0.0000 0.3920

No. 8
# PBE-GGA Li5InPb2, optimized geometry
# Energy of formation = -0.27 eV per atom
# Crystal system = tetragonal
data_Li5InPb2
_cell_length_a 4.862
_cell_length_b 4.862
_cell_length_c 13.713
_cell_angle_alpha 90.00
_cell_angle_beta 90.00
_cell_angle_gamma 90.00
_symmetry_space_group_name_H-M 'I 4/m m m'
_symmetry_Int_Tables_number 139
_symmetry_space_group_name_Hall '-I 4 2'
loop_
_atom_site_label
_atom_site_type_symbol
_atom_site_fract_x
_atom_site_fract_y
_atom_site_fract_z
Li1 Li 0.000 0.000 0.000
Li2 Li 0.000 0.500 0.120
In1 In 0.000 0.000 0.500
Pb1 Pb 0.000 0.000 0.245

No. 9
# PBE-GGA KHgCl2, optimized geometry
# Energy above the lowest structure with this stoichiometry = 0.131 eV per atom
# Crystal system = cubic
# Energy relative to the elements, uncorrected = -3.8 eV/f.u.
data_KHgCl2
_cell_length_a 7.538
_cell_length_b 7.538
_cell_length_c 7.538
_cell_angle_alpha 90.00
_cell_angle_beta 90.00
_cell_angle_gamma 90.00
_symmetry_space_group_name_H-M 'F m -3 m'
_symmetry_Int_Tables_number 225
_symmetry_space_group_name_Hall '-F 4 2 3'
loop_
_atom_site_label
_atom_site_type_symbol
_atom_site_fract_x
_atom_site_fract_y
_atom_site_fract_z
K1 K 0.000 0.000 0.000
Hg1 Hg 0.000 0.000 0.500
Cl1 Cl 0.250 0.250 0.250

No. 10
# PBE-GGA Ho6Tl2C, optimized geometry
# Energy of formation = -0.35 eV per atom
# Energy above the lowest structure with this stoichiometry = 0.000 eV per atom
# Crystal system = cubic
data_Ho6Tl2C
_cell_length_a 9.752
_cell_length_b 9.752
_cell_length_c 9.752
_cell_angle_alpha 90.00
_cell_angle_beta 90.00
_cell_angle_gamma 90.00
_symmetry_space_group_name_H-M 'F m -3 m'
_symmetry_Int_Tables_number 225
_symmetry_space_group_name_Hall '-F 4 2 3'
loop_
_atom_site_label
_atom_site_type_symbol
_atom_site_fract_x
_atom_site_fract_y
_atom_site_fract_z
Ho1 Ho 0.000 0.000 0.245
Tl1 Tl 0.250 0.250 0.250
C1 C 0.000 0.000 0.000

No. 11
# PBE-GGA CeYAsSe, optimized geometry
# Crystal system = trigonal
# Energy relative to the elements, uncorrected = -6.7 eV/f.u.
data_CeYAsSe
_cell_length_a 4.1600
_cell_length_b 4.1600
_cell_length_c 20.5216
_cell_angle_alpha 90.00
_cell_angle_beta 90.00
_cell_angle_gamma 120.00
_symmetry_space_group_name_H-M 'R 3 m'
_symmetry_Int_Tables_number 160
_symmetry_space_group_name_Hall 'R 3 -2"'
loop_
_atom_site_label
_atom_site_type_symbol
_atom_site_fract_x
_atom_site_fract_y
_atom_site_fract_z
Ce1 Ce 0.0000 0.0000 0.0000
Y1 Y 0.0000 0.0000 0.4945
As1 As 0.0000 0.0000 0.7499
Se1 Se 0.0000 0.0000 0.2444

No. 12
# PBE-GGA TaCrSn2, optimized geometry
# Energy of formation = 0.73 eV per atom
# Energy above the lowest structure with this stoichiometry = 0.203 eV per atom
# Crystal system = tetragonal
data_TaCrSn2
_cell_length_a 4.034
_cell_length_b 4.034
_cell_length_c 19.919
_cell_angle_alpha 90.00
_cell_angle_beta 90.00
_cell_angle_gamma 90.00
_symmetry_space_group_name_H-M 'I -4 2 d'
_symmetry_Int_Tables_number 122
_symmetry_space_group_name_Hall 'I -4 2bw'
loop_
_atom_site_label
_atom_site_type_symbol
_atom_site_fract_x
_atom_site_fract_y
_atom_site_fract_z
Ta1 Ta 0.000 0.000 0.000
Cr1 Cr 0.000 0.000 0.500
Sn1 Sn 0.246 0.250 0.625

no.,VASP energy (eV per cell)
1,-115.57
2,-43.46
3,-19.57
4,-34.63
5,-70.23
6,-204.93
7,-74.83
8,-43.70
9,-35.69
10,-178.30
11,-81.84
12,-106.24